Here is crystalline SiWSe at its relaxed geometry from the Alexandria database. Energies are from GGA-PBE.

## Properties
The formation energy from raw total energies comes out at 0.47 eV/atom. The value obtained for the excess energy over the best structure of this formula in the dataset is 351 meV per atom.

Lattice parameters (Å, degrees): 3.2997 4.6419 14.0613 90.00 90.00 90.00
Space group Fmm2 (No. 42)
Inequivalent atoms, fractional coordinates:
Si 0.0000 0.0000 0.0000 (multiplicity 4)
W 0.0000 0.0000 0.6437 (multiplicity 4)
Se 0.0000 0.0000 0.2879 (multiplicity 4)

---

Here is crystalline ZnRePb at its relaxed geometry from the Alexandria database. Energies are from GGA-PBE.

## Properties
Its formation energy is 0.880 eV/atom. The value obtained for the excess energy over the best structure of this formula in the dataset is 156 meV per atom.

Lattice parameters (Å, degrees): 4.6964 4.6964 2.9350 90.00 90.00 120.00
Space group P-6m2 (No. 187)
Inequivalent atoms, fractional coordinates:
Zn 0.0000 0.0000 0.0000 (multiplicity 1)
Re 0.6667 0.3333 0.0000 (multiplicity 1)
Pb 0.3333 0.6667 0.5000 (multiplicity 1)

---

Here is crystalline CeGdYCd at its relaxed geometry from the Alexandria database. Energies are from GGA-PBE.

## Properties
Its formation energy is 0.031 eV/atom.

Lattice parameters (Å, degrees): 7.6804 7.6804 7.6804 90.00 90.00 90.00
Space group F-43m (No. 216)
Inequivalent atoms, fractional coordinates:
Ce 0.0000 0.0000 0.0000 (multiplicity 4)
Gd 0.2500 0.2500 0.2500 (multiplicity 4)
Y 0.2500 0.2500 0.7500 (multiplicity 4)
Cd 0.0000 0.0000 0.5000 (multiplicity 4)

---

Here is crystalline LiHfNpSe4 at its relaxed geometry from the Alexandria database. Energies are from GGA-PBE.

## Properties
The formation energy from raw total energies comes out at -1.25 eV/atom.

Lattice parameters (Å, degrees): 7.8214 8.3383 11.4349 90.00 90.00 90.00
Space group Imma (No. 74)
Inequivalent atoms, fractional coordinates:
Li 0.0000 0.2500 0.1300 (multiplicity 4)
Hf 0.2500 0.2500 0.7500 (multiplicity 4)
Np 0.0000 0.0000 0.5000 (multiplicity 4)
Se 0.0000 0.0245 0.7524 (multiplicity 8)
Se 0.2504 0.2500 0.5154 (multiplicity 8)

---

Here is crystalline Tl2InSiC at its relaxed geometry from the Alexandria database. Energies are from GGA-PBE.

## Properties
The formation energy from raw total energies comes out at 1.12 eV/atom.

Lattice parameters (Å, degrees): 4.9078 4.9078 4.7368 90.00 90.00 90.00
Space group P4/mmm (No. 123)
Inequivalent atoms, fractional coordinates:
Tl 0.0000 0.5000 0.0000 (multiplicity 2)
In 0.0000 0.0000 0.5000 (multiplicity 1)
Si 0.5000 0.5000 0.5000 (multiplicity 1)
C 0.0000 0.0000 0.0000 (multiplicity 1)

---

Here is crystalline TlIr3C at its relaxed geometry from the Alexandria database. Energies are from GGA-PBE.

## Properties
Its formation energy is 0.582 eV/atom. The value obtained for the excess energy over the best structure of this formula in the dataset is 0 meV per atom.

Lattice parameters (Å, degrees): 4.1940 4.1940 4.1940 90.00 90.00 90.00
Space group Pm-3m (No. 221)
Inequivalent atoms, fractional coordinates:
Tl 0.0000 0.0000 0.0000 (multiplicity 1)
Ir 0.0000 0.5000 0.5000 (multiplicity 3)
C 0.5000 0.5000 0.5000 (multiplicity 1)

---

Here is crystalline LaHoSi at its relaxed geometry from the Alexandria database. Energies are from GGA-PBE.

## Properties
The formation energy from raw total energies comes out at -0.35 eV/atom. The value obtained for the excess energy over the best structure of this formula in the dataset is 159 meV per atom.

Lattice parameters (Å, degrees): 4.7381 4.7381 4.3213 90.00 90.00 120.00
Space group P3m1 (No. 156)
Inequivalent atoms, fractional coordinates:
La 0.0000 0.0000 0.0000 (multiplicity 1)
Ho 0.3333 0.6667 0.4719 (multiplicity 1)
Si 0.6667 0.3333 0.6048 (multiplicity 1)

---

Here is crystalline CeThGeP at its relaxed geometry from the Alexandria database. Energies are from GGA-PBE.

## Properties
Its formation energy is -0.955 eV/atom.

Lattice parameters (Å, degrees): 4.1352 4.1352 21.5380 90.00 90.00 120.00
Space group R3m (No. 160, hexagonal axes)
Inequivalent atoms, fractional coordinates:
Ce 0.0000 0.0000 0.0000 (multiplicity 3)
Th 0.0000 0.0000 0.8229 (multiplicity 3)
Ge 0.0000 0.0000 0.2462 (multiplicity 3)
P 0.0000 0.0000 0.4129 (multiplicity 3)

---

Here is crystalline Na3CdIn3I8 at its relaxed geometry from the Alexandria database. Energies are from GGA-PBE.

## Properties
The formation energy from raw total energies comes out at -0.79 eV/atom.

Lattice parameters (Å, degrees): 16.2066 9.3427 9.7586 90.00 123.66 90.00
Space group C2/m (No. 12)
Inequivalent atoms, fractional coordinates:
Na 0.0000 0.0000 0.0000 (multiplicity 2)
Na 0.2500 0.2500 0.0000 (multiplicity 4)
Cd 0.0000 0.5000 0.0000 (multiplicity 2)
In 0.0000 0.5000 0.5000 (multiplicity 2)
In 0.2500 0.2500 0.5000 (multiplicity 4)
I 0.0073 0.2654 0.7875 (multiplicity 8)
I 0.2272 0.5000 0.2126 (multiplicity 4)
I 0.2419 0.0000 0.2249 (multiplicity 4)

---

Here is crystalline LaIrPd3 at its relaxed geometry from the Alexandria database. Energies are from GGA-PBE.

## Properties
Its formation energy is 0.224 eV/atom. The value obtained for the excess energy over the best structure of this formula in the dataset is 0 meV per atom.

Lattice parameters (Å, degrees): 4.8952 4.8952 4.8952 90.00 90.00 90.00
Space group Pm-3m (No. 221)
Inequivalent atoms, fractional coordinates:
La 0.0000 0.0000 0.0000 (multiplicity 1)
Ir 0.5000 0.5000 0.5000 (multiplicity 1)
Pd 0.0000 0.5000 0.5000 (multiplicity 3)

---

Here is crystalline CaYbGa2 at its relaxed geometry from the Alexandria database. Energies are from GGA-PBE.

## Properties
Its formation energy is -0.472 eV/atom.

Lattice parameters (Å, degrees): 7.2739 7.2739 7.2739 90.00 90.00 90.00
Space group Fm-3m (No. 225)
Inequivalent atoms, fractional coordinates:
Ca 0.0000 0.0000 0.0000 (multiplicity 4)
Yb 0.0000 0.0000 0.5000 (multiplicity 4)
Ga 0.2500 0.2500 0.2500 (multiplicity 8)

---

Here is crystalline LiCa2H4 at its relaxed geometry from the Alexandria database. Energies are from GGA-PBE.

## Properties
The value obtained for the excess energy over the best structure of this formula in the dataset is 0 meV per atom.

Lattice parameters (Å, degrees): 3.6518 3.6518 12.1534 90.00 90.00 90.00
Space group I4/mmm (No. 139)
Inequivalent atoms, fractional coordinates:
Li 0.0000 0.0000 0.0000 (multiplicity 2)
Ca 0.0000 0.0000 0.3577 (multiplicity 4)
H 0.0000 0.0000 0.1674 (multiplicity 4)
H 0.0000 0.5000 0.0000 (multiplicity 4)

---

Here is crystalline Sr2Ag5Pt5 at its relaxed geometry from the Alexandria database. Energies are from GGA-PBE.

## Properties
Its formation energy is -0.373 eV/atom.

Lattice parameters (Å, degrees): 4.5663 5.5738 9.6206 90.00 90.00 90.00
Space group Pmmm (No. 47)
Inequivalent atoms, fractional coordinates:
Sr 0.0000 0.0000 0.0000 (multiplicity 1)
Sr 0.0000 0.5000 0.5000 (multiplicity 1)
Ag 0.0000 0.0000 0.3279 (multiplicity 2)
Ag 0.0000 0.5000 0.1680 (multiplicity 2)
Ag 0.5000 0.0000 0.5000 (multiplicity 1)
Pt 0.5000 0.2466 0.2431 (multiplicity 4)
Pt 0.5000 0.5000 0.0000 (multiplicity 1)

---

no.,volume (Å³ per cell),E (eV per cell)
1,215.4,-81.8
2,56.1,-14.8
3,453.1,-109.1
4,745.8,-189.8
5,114.1,-16.5
6,73.8,-35.3
7,84.0,-16.0
8,319.0,-81.6
9,1229.8,-74.6
10,117.3,-28.2
11,384.9,-45.9
12,162.1,-44.4
13,244.9,-52.3